A crystal of Be2CuPt relaxed with PBEsol, computed with meta-GGA SCAN.

Computed properties:
M_tot in μB/f.u.: 0.000
V in Å³ per atom: 10.556
Energy relative to the lowest polymorph listed for this composition in eV per atom: 0.114
ΔE_f in eV per atom: -0.53
Density in Mg/m³: 10.88
Space group: No. 38

a = 3.675 Å, b = 2.661 Å, c = 8.636 Å
α = 90.00°, β = 90.00°, γ = 90.00°
Atoms (fractional coordinates):
Be1 0.000 0.000 0.000
Be2 0.000 0.500 0.500
Be3 0.500 0.000 0.148
Be4 0.500 0.500 0.648
Cu1 0.500 0.000 0.420
Cu2 0.500 0.500 0.920
Pt1 0.000 0.000 0.731
Pt2 0.000 0.500 0.231

=====

A crystal of BeCu2Pt relaxed with PBEsol, computed with meta-GGA SCAN.

Computed properties:
M_tot in μB/f.u.: 0.000
V in Å³ per atom: 11.913
ΔE_f in eV per atom: -0.19
Density in Mg/m³: 11.54
Space group: No. 65

a = 4.862 Å, b = 7.232 Å, c = 2.711 Å
α = 90.00°, β = 90.00°, γ = 90.00°
Atoms (fractional coordinates):
Be1 0.000 0.000 0.000
Be2 0.500 0.500 0.000
Cu1 0.250 0.250 0.500
Cu2 0.250 0.750 0.500
Cu3 0.750 0.250 0.500
Cu4 0.750 0.750 0.500
Pt1 0.000 0.500 0.000
Pt2 0.500 0.000 0.000

=====

> The highest V belongs to which entry?

BeCu2Pt

=====

> What is the formula in the first record?

Be2CuPt

=====

> The highest ΔE_f belongs to which entry?

BeCu2Pt